# BAsS2N GGA-PBE optimized geometry
data_BAsS2N
_symmetry_space_group_name_H-M 'P 4/m m m'
_symmetry_Int_Tables_number 123
_symmetry_space_group_name_Hall '-P 4 2'
_cell_length_a 5.525
_cell_length_b 5.525
_cell_length_c 2.616
_cell_angle_alpha 90.00
_cell_angle_beta 90.00
_cell_angle_gamma 90.00
loop_
_atom_site_label
_atom_site_type_symbol
_atom_site_fract_x
_atom_site_fract_y
_atom_site_fract_z
B1 B 0.000 0.000 0.000
As1 As 0.500 0.500 0.500
S1 S 0.000 0.500 0.000
N1 N 0.000 0.000 0.500
# polymorph energy (0 for the lowest one) = 0.000 eV per atom
# spin magnetization = 0.00 μB per formula unit
# formation energy (no corrections) = 0.4690 eV/atom
# crystal system = tetragonal



# BAsS2N GGA-PBE optimized geometry
data_BAsS2N
_symmetry_space_group_name_H-M 'P 4/m m m'
_symmetry_Int_Tables_number 123
_symmetry_space_group_name_Hall '-P 4 2'
_cell_length_a 4.785
_cell_length_b 4.785
_cell_length_c 3.620
_cell_angle_alpha 90.00
_cell_angle_beta 90.00
_cell_angle_gamma 90.00
loop_
_atom_site_label
_atom_site_type_symbol
_atom_site_fract_x
_atom_site_fract_y
_atom_site_fract_z
B1 B 0.000 0.000 0.000
As1 As 0.500 0.500 0.500
S1 S 0.000 0.500 0.500
N1 N 0.500 0.500 0.000
# polymorph energy (0 for the lowest one) = 1.255 eV per atom
# spin magnetization = 0.67 μB per formula unit
# formation energy (no corrections) = 1.7237 eV/atom
# crystal system = tetragonal



# BSb2AsN GGA-PBE optimized geometry
data_BSb2AsN
_symmetry_space_group_name_H-M 'P 4/m m m'
_symmetry_Int_Tables_number 123
_symmetry_space_group_name_Hall '-P 4 2'
_cell_length_a 6.344
_cell_length_b 6.344
_cell_length_c 2.744
_cell_angle_alpha 90.00
_cell_angle_beta 90.00
_cell_angle_gamma 90.00
loop_
_atom_site_label
_atom_site_type_symbol
_atom_site_fract_x
_atom_site_fract_y
_atom_site_fract_z
B1 B 0.000 0.000 0.000
Sb1 Sb 0.000 0.500 0.500
As1 As 0.500 0.500 0.000
N1 N 0.000 0.000 0.500
# spin magnetization = 0.00 μB per formula unit
# formation energy (no corrections) = 0.4297 eV/atom
# crystal system = tetragonal



# BAsSe2N GGA-PBE optimized geometry
data_BAsSe2N
_symmetry_space_group_name_H-M 'P 4/m m m'
_symmetry_Int_Tables_number 123
_symmetry_space_group_name_Hall '-P 4 2'
_cell_length_a 4.279
_cell_length_b 4.279
_cell_length_c 4.442
_cell_angle_alpha 90.00
_cell_angle_beta 90.00
_cell_angle_gamma 90.00
loop_
_atom_site_label
_atom_site_type_symbol
_atom_site_fract_x
_atom_site_fract_y
_atom_site_fract_z
B1 B 0.000 0.000 0.000
As1 As 0.500 0.500 0.000
Se1 Se 0.000 0.500 0.500
N1 N 0.500 0.500 0.500
# polymorph energy (0 for the lowest one) = 1.299 eV per atom
# spin magnetization = 0.00 μB per formula unit
# formation energy (no corrections) = 1.6086 eV/atom
# crystal system = tetragonal



# BAsSeN2 GGA-PBE optimized geometry
data_BAsSeN2
_symmetry_space_group_name_H-M 'P 4/m m m'
_symmetry_Int_Tables_number 123
_symmetry_space_group_name_Hall '-P 4 2'
_cell_length_a 3.344
_cell_length_b 3.344
_cell_length_c 7.400
_cell_angle_alpha 90.00
_cell_angle_beta 90.00
_cell_angle_gamma 90.00
loop_
_atom_site_label
_atom_site_type_symbol
_atom_site_fract_x
_atom_site_fract_y
_atom_site_fract_z
B1 B 0.000 0.000 0.000
As1 As 0.500 0.500 0.500
Se1 Se 0.000 0.000 0.500
N1 N 0.000 0.500 0.000
# polymorph energy (0 for the lowest one) = 0.000 eV per atom
# spin magnetization = 0.69 μB per formula unit
# formation energy (no corrections) = 1.3757 eV/atom
# crystal system = tetragonal



# BAsSeN2 GGA-PBE optimized geometry
data_BAsSeN2
_symmetry_space_group_name_H-M 'P 4/m m m'
_symmetry_Int_Tables_number 123
_symmetry_space_group_name_Hall '-P 4 2'
_cell_length_a 3.530
_cell_length_b 3.530
_cell_length_c 6.945
_cell_angle_alpha 90.00
_cell_angle_beta 90.00
_cell_angle_gamma 90.00
loop_
_atom_site_label
_atom_site_type_symbol
_atom_site_fract_x
_atom_site_fract_y
_atom_site_fract_z
B1 B 0.000 0.000 0.000
As1 As 0.500 0.500 0.500
Se1 Se 0.500 0.500 0.000
N1 N 0.000 0.500 0.500
# polymorph energy (0 for the lowest one) = 0.404 eV per atom
# spin magnetization = 0.59 μB per formula unit
# formation energy (no corrections) = 1.7799 eV/atom
# crystal system = tetragonal



# BAsSe2N GGA-PBE optimized geometry
data_BAsSe2N
_symmetry_space_group_name_H-M 'P 4/m m m'
_symmetry_Int_Tables_number 123
_symmetry_space_group_name_Hall '-P 4 2'
_cell_length_a 5.163
_cell_length_b 5.163
_cell_length_c 3.555
_cell_angle_alpha 90.00
_cell_angle_beta 90.00
_cell_angle_gamma 90.00
loop_
_atom_site_label
_atom_site_type_symbol
_atom_site_fract_x
_atom_site_fract_y
_atom_site_fract_z
B1 B 0.000 0.000 0.000
As1 As 0.500 0.500 0.500
Se1 Se 0.000 0.500 0.500
N1 N 0.500 0.500 0.000
# polymorph energy (0 for the lowest one) = 1.329 eV per atom
# spin magnetization = 0.00 μB per formula unit
# formation energy (no corrections) = 1.6384 eV/atom
# crystal system = tetragonal



# BAsSe2N GGA-PBE optimized geometry
data_BAsSe2N
_symmetry_space_group_name_H-M 'P 4/m m m'
_symmetry_Int_Tables_number 123
_symmetry_space_group_name_Hall '-P 4 2'
_cell_length_a 6.123
_cell_length_b 6.123
_cell_length_c 2.604
_cell_angle_alpha 90.00
_cell_angle_beta 90.00
_cell_angle_gamma 90.00
loop_
_atom_site_label
_atom_site_type_symbol
_atom_site_fract_x
_atom_site_fract_y
_atom_site_fract_z
B1 B 0.000 0.000 0.000
As1 As 0.500 0.500 0.500
Se1 Se 0.000 0.500 0.000
N1 N 0.000 0.000 0.500
# polymorph energy (0 for the lowest one) = 0.000 eV per atom
# spin magnetization = 0.20 μB per formula unit
# formation energy (no corrections) = 0.3096 eV/atom
# crystal system = tetragonal



# BTeAsN2 GGA-PBE optimized geometry
data_BTeAsN2
_symmetry_space_group_name_H-M 'P 4/m m m'
_symmetry_Int_Tables_number 123
_symmetry_space_group_name_Hall '-P 4 2'
_cell_length_a 3.722
_cell_length_b 3.722
_cell_length_c 4.751
_cell_angle_alpha 90.00
_cell_angle_beta 90.00
_cell_angle_gamma 90.00
loop_
_atom_site_label
_atom_site_type_symbol
_atom_site_fract_x
_atom_site_fract_y
_atom_site_fract_z
B1 B 0.000 0.000 0.000
Te1 Te 0.000 0.000 0.500
As1 As 0.500 0.500 0.500
N1 N 0.000 0.500 0.000
# polymorph energy (0 for the lowest one) = 0.058 eV per atom
# spin magnetization = 0.80 μB per formula unit
# formation energy (no corrections) = 1.7678 eV/atom
# crystal system = tetragonal



# BTeAsN2 GGA-PBE optimized geometry
data_BTeAsN2
_symmetry_space_group_name_H-M 'P 4/m m m'
_symmetry_Int_Tables_number 123
_symmetry_space_group_name_Hall '-P 4 2'
_cell_length_a 3.601
_cell_length_b 3.601
_cell_length_c 7.265
_cell_angle_alpha 90.00
_cell_angle_beta 90.00
_cell_angle_gamma 90.00
loop_
_atom_site_label
_atom_site_type_symbol
_atom_site_fract_x
_atom_site_fract_y
_atom_site_fract_z
B1 B 0.000 0.000 0.000
Te1 Te 0.500 0.500 0.000
As1 As 0.500 0.500 0.500
N1 N 0.000 0.500 0.500
# polymorph energy (0 for the lowest one) = 0.000 eV per atom
# spin magnetization = 0.67 μB per formula unit
# formation energy (no corrections) = 1.7097 eV/atom
# crystal system = tetragonal



# Zn2BAsN GGA-PBE optimized geometry
data_Zn2BAsN
_symmetry_space_group_name_H-M 'P 4/m m m'
_symmetry_Int_Tables_number 123
_symmetry_space_group_name_Hall '-P 4 2'
_cell_length_a 5.350
_cell_length_b 5.350
_cell_length_c 2.683
_cell_angle_alpha 90.00
_cell_angle_beta 90.00
_cell_angle_gamma 90.00
loop_
_atom_site_label
_atom_site_type_symbol
_atom_site_fract_x
_atom_site_fract_y
_atom_site_fract_z
Zn1 Zn 0.000 0.500 0.000
B1 B 0.000 0.000 0.500
As1 As 0.500 0.500 0.500
N1 N 0.000 0.000 0.000
# spin magnetization = 0.00 μB per formula unit
# formation energy (no corrections) = 0.1471 eV/atom
# crystal system = tetragonal



# Na3B2As4 GGA-PBE optimized geometry
data_Na3B2As4
_symmetry_space_group_name_H-M 'C 1 2/c 1'
_symmetry_Int_Tables_number 15
_cell_length_a 13.592
_cell_length_b 7.979
_cell_length_c 6.589
_cell_angle_alpha 90.00
_cell_angle_beta 95.92
_cell_angle_gamma 90.00
loop_
_symmetry_equiv_pos_as_xyz
'x,y,z'
'-x,-y,-z'
'-x,y,-z+1/2'
'x,-y,z+1/2'
'x+1/2,y+1/2,z'
'-x+1/2,-y+1/2,-z'
'-x+1/2,y+1/2,-z+1/2'
'x+1/2,-y+1/2,z+1/2'
loop_
_atom_site_label
_atom_site_type_symbol
_atom_site_fract_x
_atom_site_fract_y
_atom_site_fract_z
Na1 Na 0.000 0.034 0.250
Na2 Na 0.090 0.382 0.580
B1 B 0.242 0.111 0.863
As1 As 0.133 0.251 0.011
As2 As 0.200 0.089 0.545
# DFT formation energy = -0.026 eV/atom
# spin magnetization = 0.00 μB per formula unit
# crystal system = monoclinic



# Na2NiBAs GGA-PBE optimized geometry
data_Na2NiBAs
_symmetry_space_group_name_H-M 'P 4/m m m'
_symmetry_Int_Tables_number 123
_symmetry_space_group_name_Hall '-P 4 2'
_cell_length_a 5.202
_cell_length_b 5.202
_cell_length_c 4.282
_cell_angle_alpha 90.00
_cell_angle_beta 90.00
_cell_angle_gamma 90.00
loop_
_atom_site_label
_atom_site_type_symbol
_atom_site_fract_x
_atom_site_fract_y
_atom_site_fract_z
Na1 Na 0.000 0.500 0.000
Ni1 Ni 0.000 0.000 0.000
B1 B 0.500 0.500 0.500
As1 As 0.000 0.000 0.500
# DFT formation energy = 0.840 eV/atom
# spin magnetization = 0.00 μB per formula unit
# crystal system = tetragonal



# Na2B2AsO6 GGA-PBE optimized geometry
data_Na2B2AsO6
_symmetry_space_group_name_H-M 'C 1 2/m 1'
_symmetry_Int_Tables_number 12
_cell_length_a 8.507
_cell_length_b 5.121
_cell_length_c 6.016
_cell_angle_alpha 90.00
_cell_angle_beta 115.75
_cell_angle_gamma 90.00
loop_
_symmetry_equiv_pos_as_xyz
'x,y,z'
'-x,-y,-z'
'-x,y,-z'
'x,-y,z'
'x+1/2,y+1/2,z'
'-x+1/2,-y+1/2,-z'
'-x+1/2,y+1/2,-z'
'x+1/2,-y+1/2,z'
loop_
_atom_site_label
_atom_site_type_symbol
_atom_site_fract_x
_atom_site_fract_y
_atom_site_fract_z
Na1 Na 0.195 0.000 0.148
B1 B 0.067 0.500 0.293
As1 As 0.000 0.000 0.500
O1 O 0.033 0.269 0.761
O2 O 0.243 0.500 0.386
# spin magnetization = 0.00 μB per formula unit
# formation energy (no corrections) = -1.8162 eV/atom
# crystal system = monoclinic



# NaBAsO4 GGA-PBE optimized geometry
data_NaBAsO4
_symmetry_space_group_name_H-M 'I -4'
_symmetry_Int_Tables_number 82
_cell_length_a 5.022
_cell_length_b 5.022
_cell_length_c 7.068
_cell_angle_alpha 90.00
_cell_angle_beta 90.00
_cell_angle_gamma 90.00
loop_
_symmetry_equiv_pos_as_xyz
'x,y,z'
'y,-x,-z'
'-x,-y,z'
'-y,x,-z'
'x+1/2,y+1/2,z+1/2'
'y+1/2,-x+1/2,-z+1/2'
'-x+1/2,-y+1/2,z+1/2'
'-y+1/2,x+1/2,-z+1/2'
loop_
_atom_site_label
_atom_site_type_symbol
_atom_site_fract_x
_atom_site_fract_y
_atom_site_fract_z
Na1 Na 0.000 0.000 0.000
B1 B 0.000 0.500 0.750
As1 As 0.000 0.000 0.500
O1 O 0.141 0.292 0.637
# spin magnetization = 0.99 μB per formula unit
# formation energy (no corrections) = -1.5996 eV/atom
# crystal system = tetragonal



# NaBAs2O6 GGA-PBE optimized geometry
data_NaBAs2O6
_symmetry_space_group_name_H-M 'C 1 2/c 1'
_symmetry_Int_Tables_number 15
_cell_length_a 10.738
_cell_length_b 8.714
_cell_length_c 7.032
_cell_angle_alpha 90.00
_cell_angle_beta 127.03
_cell_angle_gamma 90.00
loop_
_symmetry_equiv_pos_as_xyz
'x,y,z'
'-x,-y,-z'
'-x,y,-z+1/2'
'x,-y,z+1/2'
'x+1/2,y+1/2,z'
'-x+1/2,-y+1/2,-z'
'-x+1/2,y+1/2,-z+1/2'
'x+1/2,-y+1/2,z+1/2'
loop_
_atom_site_label
_atom_site_type_symbol
_atom_site_fract_x
_atom_site_fract_y
_atom_site_fract_z
Na1 Na 0.000 0.188 0.250
B1 B 0.000 0.187 0.750
As1 As 0.195 0.448 0.089
O1 O 0.094 0.272 0.979
O2 O 0.101 0.088 0.721
O3 O 0.167 0.448 0.343
# spin magnetization = 0.00 μB per formula unit
# formation energy (no corrections) = -1.4693 eV/atom
# crystal system = monoclinic



# Na2BAsO4 GGA-PBE optimized geometry
data_Na2BAsO4
_symmetry_space_group_name_H-M 'I -4'
_symmetry_Int_Tables_number 82
_cell_length_a 5.275
_cell_length_b 5.275
_cell_length_c 6.901
_cell_angle_alpha 90.00
_cell_angle_beta 90.00
_cell_angle_gamma 90.00
loop_
_symmetry_equiv_pos_as_xyz
'x,y,z'
'y,-x,-z'
'-x,-y,z'
'-y,x,-z'
'x+1/2,y+1/2,z+1/2'
'y+1/2,-x+1/2,-z+1/2'
'-x+1/2,-y+1/2,z+1/2'
'-y+1/2,x+1/2,-z+1/2'
loop_
_atom_site_label
_atom_site_type_symbol
_atom_site_fract_x
_atom_site_fract_y
_atom_site_fract_z
Na1 Na 0.000 0.000 0.000
Na2 Na 0.000 0.500 0.250
B1 B 0.000 0.500 0.750
As1 As 0.000 0.000 0.500
O1 O 0.150 0.686 0.630
# spin magnetization = 0.00 μB per formula unit
# formation energy (no corrections) = -1.5809 eV/atom
# crystal system = tetragonal



# Na3BSbAsO7 GGA-PBE optimized geometry
data_Na3BSbAsO7
_symmetry_space_group_name_H-M 'P 1 21/m 1'
_symmetry_Int_Tables_number 11
_cell_length_a 5.482
_cell_length_b 7.087
_cell_length_c 9.615
_cell_angle_alpha 90.00
_cell_angle_beta 94.06
_cell_angle_gamma 90.00
loop_
_symmetry_equiv_pos_as_xyz
'x,y,z'
'-x,-y,-z'
'-x,y+1/2,-z'
'x,-y+1/2,z'
loop_
_atom_site_label
_atom_site_type_symbol
_atom_site_fract_x
_atom_site_fract_y
_atom_site_fract_z
Na1 Na 0.218 0.250 0.437
Na2 Na 0.252 0.508 0.738
B1 B 0.254 0.750 0.435
Sb1 Sb 0.221 0.750 0.163
As1 As 0.274 0.250 0.102
O1 O 0.036 0.750 0.341
O2 O 0.164 0.062 0.196
O3 O 0.169 0.250 0.927
O4 O 0.237 0.750 0.573
O5 O 0.417 0.750 0.887
O6 O 0.468 0.750 0.363
# spin magnetization = 0.00 μB per formula unit
# formation energy (no corrections) = -1.7442 eV/atom
# crystal system = monoclinic



# Na2SnBAsO7 GGA-PBE optimized geometry
data_Na2SnBAsO7
_symmetry_space_group_name_H-M 'P 1 21/m 1'
_symmetry_Int_Tables_number 11
_cell_length_a 5.495
_cell_length_b 6.922
_cell_length_c 9.866
_cell_angle_alpha 90.00
_cell_angle_beta 94.62
_cell_angle_gamma 90.00
loop_
_symmetry_equiv_pos_as_xyz
'x,y,z'
'-x,-y,-z'
'-x,y+1/2,-z'
'x,-y+1/2,z'
loop_
_atom_site_label
_atom_site_type_symbol
_atom_site_fract_x
_atom_site_fract_y
_atom_site_fract_z
Na1 Na 0.242 0.010 0.332
Sn1 Sn 0.219 0.750 0.844
B1 B 0.274 0.750 0.590
As1 As 0.262 0.250 0.934
O1 O 0.044 0.750 0.649
O2 O 0.131 0.250 0.086
O3 O 0.178 0.055 0.834
O4 O 0.310 0.750 0.459
O5 O 0.422 0.750 0.031
O6 O 0.467 0.750 0.698
# spin magnetization = 0.07 μB per formula unit
# formation energy (no corrections) = -1.7332 eV/atom
# crystal system = monoclinic